The following is a DFT calculation (SCAN) of KGa2Pt2 at its PBEsol-relaxed geometry.

- distance to the lowest polymorph of the same formula (eV/atom) = 0.000

Lattice parameters (Å, degrees): 4.3359 4.3359 6.1008 110.82 110.82 90.00
Sites, in units of the cell vectors:
K (0.0000, 0.0000, 0.0000)
Ga (0.2500, 0.7500, 0.5000)
Ga (0.7500, 0.2500, 0.5000)
Pt (0.6263, 0.6263, 0.2526)
Pt (0.3737, 0.3737, 0.7474)



The following is a DFT calculation (SCAN) of TcNi2Pt at its PBEsol-relaxed geometry.

- distance to the lowest polymorph of the same formula (eV/atom) = 0.255

Lattice parameters (Å, degrees): 2.6778 4.4775 5.0194 116.49 105.47 90.00
Each line ends with the local moment (μB).
Sites, in units of the cell vectors:
Tc (0.0000, 0.5000, 0.0000)  0.75
Pt (0.5000, 0.0000, 0.0000)  0.08
Ni (0.7428, 0.7428, 0.4857)  0.44
Ni (0.2572, 0.2572, 0.5143)  0.44



The following is a DFT calculation (SCAN) of SiPN3 at its PBEsol-relaxed geometry.

- ΔE_f (raw) (eV per atom) = -0.905

Lattice parameters (Å, degrees): 4.6719 5.2613 5.2723 119.59 90.00 90.00
Sites, in units of the cell vectors:
N (0.1418, 0.6666, 0.5700)
N (0.6418, 0.3334, 0.4300)
P (0.0039, 0.9924, 0.6645)
N (0.6573, 0.9149, 0.5686)
Si (0.9967, 0.3249, 0.3237)
N (0.5671, 0.7725, 0.0180)
N (0.0671, 0.2275, 0.9820)
N (0.1573, 0.0851, 0.4314)
Si (0.4967, 0.6751, 0.6763)
P (0.5039, 0.0076, 0.3355)



no.,mass density (g/cm³)
1,9.52
2,13.26
3,2.98